First-principles (GGA-PBE) data for crystalline Sc2Cd2Mo at its relaxed geometry, as listed in Alexandria.

Electronic total energy: -0.35187 Ry per atom
Relative energy among the computed polymorphs: 0.000 eV/atom
Energy relative to the elements: 0.277 eV/atom

Cell: 7.9456 7.9456 3.2850 Å, 90.00 90.00 90.00°
Closest atoms and distances in Å follow each position.
Atoms (fractional coordinates):
Sc1 0.1785 0.6785 0.5000  6 Cd 2.75-2.95
Sc2 0.6785 0.8215 0.5000  6 Cd 2.75-2.95
Sc3 0.8215 0.3215 0.5000  6 Cd 2.75-2.95
Sc4 0.3215 0.1785 0.5000  6 Cd 2.75-2.95
Mo1 0.0000 0.0000 0.0000  4 Cd 3.14, 2 Mo 3.28, 8 Sc 3.35
Mo2 0.5000 0.5000 0.0000  4 Cd 3.14, 2 Mo 3.28, 8 Sc 3.35
Cd1 0.3752 0.8752 0.0000  6 Sc 2.75-2.95, 1 Cd 2.80
Cd2 0.8752 0.6248 0.0000  6 Sc 2.75-2.95, 1 Cd 2.80
Cd3 0.6248 0.1248 0.0000  6 Sc 2.75-2.95, 1 Cd 2.80
Cd4 0.1248 0.3752 0.0000  6 Sc 2.75-2.95, 1 Cd 2.80


First-principles (GGA-PBE) data for crystalline Sc2CdMo at its relaxed geometry, as listed in Alexandria.

Electronic total energy: -0.43811 Ry per atom
Energy relative to the elements: 0.141 eV/atom

Cell: 3.0128 4.5093 5.9869 Å, 90.00 90.00 90.00°
Closest atoms and distances in Å follow each position.
Atoms (fractional coordinates):
Cd1 0.0000 0.0000 0.4946  6 Sc 2.84-3.14, 2 Cd 3.01
Mo1 0.5000 0.5000 0.7776  6 Sc 2.88-3.11, 2 Mo 3.01, 4 Cd 3.20
Sc1 0.0000 0.0000 0.9696  2 Cd 2.84-3.14, 4 Mo 2.95, 2 Sc 3.01
Sc2 0.5000 0.5000 0.2583  2 Mo 2.88-3.11, 6 Sc 3.01-3.22, 4 Cd 3.06


First-principles (GGA-PBE) data for crystalline ScCd2Mo at its relaxed geometry, as listed in Alexandria.

Electronic total energy: -0.33327 Ry per atom
Relative energy among the computed polymorphs: 0.116 eV/atom
Energy relative to the elements: 0.214 eV/atom

Cell: 10.0181 10.0181 10.0181 Å, 17.68 17.68 17.68°
Closest atoms and distances in Å follow each position.
Atoms (fractional coordinates):
Cd1 0.0010 0.0010 0.0010  9 Cd 3.08-3.17, 3 Sc 3.15
Cd2 0.2457 0.2457 0.2457  3 Mo 2.99, 9 Cd 3.08-3.17
Mo1 0.4979 0.4979 0.4979  3 Sc 2.86, 3 Cd 2.99, 6 Mo 3.08
Sc1 0.7554 0.7554 0.7554  3 Mo 2.86, 6 Sc 3.08, 3 Cd 3.15


First-principles (GGA-PBE) data for crystalline ScCd2Mo at its relaxed geometry, as listed in Alexandria.

Electronic total energy: -0.33311 Ry per atom
Relative energy among the computed polymorphs: 0.118 eV/atom
Energy relative to the elements: 0.216 eV/atom

Cell: 3.4705 3.4705 6.7047 Å, 90.00 90.00 90.00°
Closest atoms and distances in Å follow each position.
Atoms (fractional coordinates):
Cd1 0.0000 0.0000 0.0041  4 Cd 3.01, 4 Sc 3.09, 1 Mo 3.32
Cd2 0.5000 0.5000 0.2631  4 Mo 2.95, 4 Cd 3.01, 1 Sc 3.09
Mo1 0.0000 0.0000 0.5082  4 Sc 2.85, 4 Cd 2.95
Sc1 0.5000 0.5000 0.7245  4 Mo 2.85, 5 Cd 3.09


First-principles (GGA-PBE) data for crystalline ScCd2Mo at its relaxed geometry, as listed in Alexandria.

Electronic total energy: -0.30709 Ry per atom
Relative energy among the computed polymorphs: 0.472 eV/atom
Energy relative to the elements: 0.570 eV/atom

Cell: 4.0274 4.0274 10.9287 Å, 79.38 79.38 90.00°
Closest atoms and distances in Å follow each position.
Atoms (fractional coordinates):
Sc1 0.5000 0.5000 0.0000  4 Mo 2.85, 4 Cd 3.01
Sc2 0.2500 0.7500 0.5000  4 Mo 2.85, 4 Cd 3.01
Mo1 0.0000 0.0000 0.0000  4 Sc 2.85, 4 Cd 2.98
Mo2 0.7500 0.2500 0.5000  4 Sc 2.85, 4 Cd 2.98
Cd1 0.6372 0.1250 0.2500  4 Cd 2.78-2.92, 2 Mo 2.98, 2 Sc 3.01
Cd2 0.1128 0.6250 0.2500  4 Cd 2.78-2.92, 2 Mo 2.98, 2 Sc 3.01
Cd3 0.3750 0.3628 0.7500  4 Cd 2.78-2.92, 2 Mo 2.98, 2 Sc 3.01
Cd4 0.8750 0.8872 0.7500  4 Cd 2.78-2.92, 2 Mo 2.98, 2 Sc 3.01


First-principles (GGA-PBE) data for crystalline ScCd2Mo at its relaxed geometry, as listed in Alexandria.

Electronic total energy: -0.33610 Ry per atom
Relative energy among the computed polymorphs: 0.077 eV/atom
Energy relative to the elements: 0.175 eV/atom

Cell: 2.9145 2.9145 9.0992 Å, 90.00 90.00 89.99°
Closest atoms and distances in Å follow each position.
Atoms (fractional coordinates):
Cd1 0.0000 0.0000 0.0091  4 Cd 2.91, 4 Mo 3.01, 4 Sc 3.13
Cd2 0.0000 0.0000 0.4909  4 Cd 2.91, 4 Mo 3.01, 4 Sc 3.13
Mo1 0.5000 0.5000 0.2500  4 Mo 2.91, 8 Cd 3.01
Sc1 0.5000 0.5000 0.7500  4 Sc 2.91, 8 Cd 3.13


First-principles (GGA-PBE) data for crystalline Sc2CdMo at its relaxed geometry, as listed in Alexandria.

Electronic total energy: -0.40626 Ry per atom
Energy relative to the elements: 0.575 eV/atom

Cell: 4.1739 4.1739 10.2155 Å, 78.21 78.21 90.00°
Closest atoms and distances in Å follow each position.
Atoms (fractional coordinates):
Sc1 0.6094 0.1250 0.2500  2 Mo 2.83, 4 Sc 2.86-3.04, 2 Cd 2.88
Sc2 0.1406 0.6250 0.2500  2 Mo 2.83, 4 Sc 2.86-3.04, 2 Cd 2.88
Sc3 0.3750 0.3906 0.7500  2 Mo 2.83, 4 Sc 2.86-3.04, 2 Cd 2.88
Sc4 0.8750 0.8594 0.7500  2 Mo 2.83, 4 Sc 2.86-3.04, 2 Cd 2.88
Mo1 0.5000 0.5000 0.0000  4 Sc 2.83, 4 Cd 2.95
Mo2 0.2500 0.7500 0.5000  4 Sc 2.83, 4 Cd 2.95
Cd1 0.0000 0.0000 0.0000  4 Sc 2.88, 4 Mo 2.95
Cd2 0.7500 0.2500 0.5000  4 Sc 2.88, 4 Mo 2.95


First-principles (GGA-PBE) data for crystalline Sc2CdMo at its relaxed geometry, as listed in Alexandria.

Electronic total energy: -0.43968 Ry per atom
Energy relative to the elements: 0.120 eV/atom

Cell: 5.5587 5.5587 5.5587 Å, 144.01 125.83 66.77°
Closest atoms and distances in Å follow each position.
Atoms (fractional coordinates):
Cd1 0.7500 0.2500 0.5000  4 Mo 3.06, 8 Sc 3.06-3.29
Mo1 0.2500 0.7500 0.5000  4 Sc 2.72
Sc1 0.0232 0.0232 0.0000  2 Mo 2.72
Sc2 0.4768 0.4768 0.0000  2 Mo 2.72


First-principles (GGA-PBE) data for crystalline Sc2CdMo at its relaxed geometry, as listed in Alexandria.

Electronic total energy: -0.41778 Ry per atom
Energy relative to the elements: 0.418 eV/atom

Cell: 10.7363 10.7363 10.7363 Å, 16.15 16.15 16.15°
Closest atoms and distances in Å follow each position.
Atoms (fractional coordinates):
Sc1 0.9169 0.9169 0.9169  1 Mo 2.64
Sc2 0.0831 0.0831 0.0831  1 Mo 2.64
Mo1 0.0000 0.0000 0.0000  2 Sc 2.64
Cd1 0.5000 0.5000 0.5000  6 Cd 3.02, 6 Sc 3.18


First-principles (GGA-PBE) data for crystalline Sc2CdMo at its relaxed geometry, as listed in Alexandria.

Electronic total energy: -0.43039 Ry per atom
Energy relative to the elements: 0.247 eV/atom

Cell: 4.8212 4.8212 4.8212 Å, 60.00 60.00 60.00°
Closest atoms and distances in Å follow each position.
Atoms (fractional coordinates):
Cd1 0.5000 0.5000 0.5000  4 Mo 2.95, 4 Sc 2.95
Mo1 0.7500 0.7500 0.7500  4 Cd 2.95, 4 Sc 2.95
Sc1 0.0000 0.0000 0.0000  4 Mo 2.95, 4 Sc 2.95
Sc2 0.2500 0.2500 0.2500  4 Cd 2.95, 4 Sc 2.95


First-principles (GGA-PBE) data for crystalline ScCd2Mo at its relaxed geometry, as listed in Alexandria.

Electronic total energy: -0.33611 Ry per atom
Relative energy among the computed polymorphs: 0.077 eV/atom
Energy relative to the elements: 0.175 eV/atom

Cell: 4.1806 3.0252 6.9446 Å, 63.76 90.00 90.00°
Closest atoms and distances in Å follow each position.
Atoms (fractional coordinates):
Cd1 0.0000 0.9962 0.0027  6 Cd 3.02-3.03, 2 Mo 3.07-3.16, 4 Sc 3.08-3.09
Cd2 0.5000 0.2441 0.2557  2 Sc 2.96-3.27, 6 Cd 3.02-3.03, 4 Mo 3.02-3.04
Mo1 0.0000 0.4908 0.5105  4 Sc 2.92-2.93, 6 Cd 3.02-3.16, 2 Mo 3.03
Sc1 0.5000 0.7689 0.7311  4 Mo 2.92-2.93, 6 Cd 2.96-3.27, 2 Sc 3.03


First-principles (GGA-PBE) data for crystalline ScCd2Mo at its relaxed geometry, as listed in Alexandria.

Electronic total energy: -0.33807 Ry per atom
Relative energy among the computed polymorphs: 0.051 eV/atom
Energy relative to the elements: 0.149 eV/atom

Cell: 5.3333 5.3333 5.3333 Å, 133.84 133.86 67.33°
Closest atoms and distances in Å follow each position.
Atoms (fractional coordinates):
Cd1 0.0000 0.0000 0.0000  4 Cd 2.96, 4 Sc 3.05, 4 Mo 3.05
Cd2 0.5000 0.5000 0.0000  4 Cd 2.96, 4 Sc 3.05, 4 Mo 3.05
Mo1 0.2500 0.7500 0.5000  4 Sc 2.96, 8 Cd 3.05
Sc1 0.7500 0.2500 0.5000  4 Mo 2.96, 8 Cd 3.05


First-principles (GGA-PBE) data for crystalline Sc2CdMoSe at its relaxed geometry, as listed in Alexandria.

Electronic total energy: -0.37492 Ry per atom
Formation energy without anion corrections: 478 meV per atom

Cell: 4.9729 5.2081 4.9729 Å, 90.00 90.00 90.00°
Closest atoms and distances in Å follow each position.
Atoms (fractional coordinates):
Sc1 0.0000 0.0000 0.5000  2 Mo 2.49
Sc2 0.5000 0.0000 0.0000  2 Mo 2.49
Mo1 0.0000 0.0000 0.0000  4 Sc 2.49, 2 Cd 2.60
Se1 0.5000 0.5000 0.5000  4 Cd 3.52, 8 Sc 3.60
Cd1 0.0000 0.5000 0.0000  2 Mo 2.60


First-principles (GGA-PBE) data for crystalline ScCdTeMo2 at its relaxed geometry, as listed in Alexandria.

Electronic total energy: -0.35877 Ry per atom
Formation energy without anion corrections: 1529 meV per atom
Relative energy among the computed polymorphs: 0.192 eV/atom

Cell: 5.1152 5.1805 5.1152 Å, 90.00 90.00 90.00°
Closest atoms and distances in Å follow each position.
Atoms (fractional coordinates):
Sc1 0.0000 0.5000 0.0000  2 Cd 2.59
Mo1 0.0000 0.0000 0.5000  2 Cd 2.56
Mo2 0.5000 0.0000 0.0000  2 Cd 2.56
Te1 0.5000 0.5000 0.5000  4 Sc 3.62, 8 Mo 3.64
Cd1 0.0000 0.0000 0.0000  4 Mo 2.56, 2 Sc 2.59


First-principles (GGA-PBE) data for crystalline ScCdTeMo2 at its relaxed geometry, as listed in Alexandria.

Electronic total energy: -0.37286 Ry per atom
Formation energy without anion corrections: 1337 meV per atom
Relative energy among the computed polymorphs: 0.000 eV/atom

Cell: 4.9855 4.9855 5.2323 Å, 90.00 90.00 90.00°
Closest atoms and distances in Å follow each position.
Atoms (fractional coordinates):
Sc1 0.5000 0.5000 0.5000  4 Cd 3.53, 8 Mo 3.61
Mo1 0.0000 0.5000 0.0000  2 Te 2.49
Mo2 0.5000 0.0000 0.0000  2 Te 2.49
Te1 0.0000 0.0000 0.0000  4 Mo 2.49, 2 Cd 2.62
Cd1 0.0000 0.0000 0.5000  2 Te 2.62


First-principles (GGA-PBE) data for crystalline Zr2ScCdMo at its relaxed geometry, as listed in Alexandria.

Electronic total energy: -0.40625 Ry per atom
Energy relative to the elements: 1.508 eV/atom

Cell: 5.1898 4.9474 5.1898 Å, 90.00 90.00 90.00°
Closest atoms and distances in Å follow each position.
Atoms (fractional coordinates):
Sc1 0.0000 0.5000 0.0000  2 Cd 2.47
Mo1 0.5000 0.5000 0.5000  8 Zr 3.59, 4 Sc 3.67
Zr1 0.0000 0.0000 0.5000  2 Cd 2.59
Zr2 0.5000 0.0000 0.0000  2 Cd 2.59
Cd1 0.0000 0.0000 0.0000  2 Sc 2.47, 4 Zr 2.59


First-principles (GGA-PBE) data for crystalline ZrScCdMo at its relaxed geometry, as listed in Alexandria.

Electronic total energy: -0.48884 Ry per atom
Energy relative to the elements: 0.005 eV/atom

Cell: 4.8318 4.8318 4.8318 Å, 60.00 60.00 60.00°
Closest atoms and distances in Å follow each position.
Atoms (fractional coordinates):
Sc1 0.0000 0.0000 0.0000  4 Cd 2.96, 4 Mo 2.96
Mo1 0.2500 0.2500 0.2500  4 Zr 2.96, 4 Sc 2.96
Zr1 0.5000 0.5000 0.5000  4 Mo 2.96, 4 Cd 2.96
Cd1 0.7500 0.7500 0.7500  4 Zr 2.96, 4 Sc 2.96


First-principles (GGA-PBE) data for crystalline Cd2MoSe at its relaxed geometry, as listed in Alexandria.

Electronic total energy: -0.28687 Ry per atom
Formation energy without anion corrections: 133 meV per atom
Relative energy among the computed polymorphs: 0.181 eV/atom

Cell: 4.6856 4.6856 8.4630 Å, 61.72 61.72 38.49°
Closest atoms and distances in Å follow each position.
Atoms (fractional coordinates):
Cd1 0.0791 0.0791 0.0451  2 Mo 2.91, 4 Cd 2.94-3.09
Cd2 0.7542 0.7542 0.7040  2 Mo 2.91, 4 Cd 2.94-3.09
Mo1 0.4767 0.4767 0.3758  3 Se 2.44-2.54
Se1 0.1900 0.1900 0.3751  3 Mo 2.44-2.54


First-principles (GGA-PBE) data for crystalline Cd2Mo2Se at its relaxed geometry, as listed in Alexandria.

Electronic total energy: -0.34555 Ry per atom
Formation energy without anion corrections: 694 meV per atom
Relative energy among the computed polymorphs: 0.211 eV/atom

Cell: 8.7050 8.7050 2.7497 Å, 90.00 90.00 90.00°
Closest atoms and distances in Å follow each position.
Atoms (fractional coordinates):
Mo1 0.0980 0.5980 0.5000  1 Mo 2.41
Mo2 0.5980 0.9020 0.5000  1 Mo 2.41
Mo3 0.9020 0.4020 0.5000  1 Mo 2.41
Mo4 0.4020 0.0980 0.5000  1 Mo 2.41
Se1 0.0000 0.0000 0.0000  2 Se 2.75
Se2 0.5000 0.5000 0.0000  2 Se 2.75
Cd1 0.3074 0.8074 0.0000  2 Cd 2.75, 6 Mo 2.92-2.99
Cd2 0.8074 0.6926 0.0000  2 Cd 2.75, 6 Mo 2.92-2.99
Cd3 0.6926 0.1926 0.0000  2 Cd 2.75, 6 Mo 2.92-2.99
Cd4 0.1926 0.3074 0.0000  2 Cd 2.75, 6 Mo 2.92-2.99


First-principles (GGA-PBE) data for crystalline Cd2MoSe at its relaxed geometry, as listed in Alexandria.

Electronic total energy: -0.29507 Ry per atom
Formation energy without anion corrections: 22 meV per atom
Relative energy among the computed polymorphs: 0.070 eV/atom

Cell: 3.0955 3.0955 8.6788 Å, 90.00 90.00 90.00°
Closest atoms and distances in Å follow each position.
Atoms (fractional coordinates):
Cd1 0.0000 0.0000 0.0155  8 Cd 3.10-3.20
Cd2 0.5000 0.5000 0.2844  4 Mo 2.99, 8 Cd 3.10-3.20
Mo1 0.0000 0.0000 0.5199  4 Se 2.59
Se1 0.5000 0.5000 0.6802  4 Mo 2.59